# PBEsol Be2AlCl, optimized geometry
data_Be2AlCl
_chemical_formula_sum 'Be4 Al2 Cl2'
_symmetry_space_group_name_H-M 'I m m m'
_symmetry_Int_Tables_number 71
_symmetry_space_group_name_Hall '-I 2 2'
_cell_length_a 2.7970
_cell_length_b 5.0673
_cell_length_c 7.9623
_cell_angle_alpha 90.00
_cell_angle_beta 90.00
_cell_angle_gamma 90.00
loop_
_atom_site_label
_atom_site_fract_x
_atom_site_fract_y
_atom_site_fract_z
Be1 0.0000 0.0000 0.2415
Al1 0.0000 0.5000 0.0000
Cl1 0.0000 0.5000 0.5000
# - Crystal system: orthorhombic
# - Relative energy among the computed polymorphs: 451 meV per atom
# - Raw formation energy: 0.46 eV/atom